Material: Y2Ni6BPt
Method: DFT, PBE-GGA
State: relaxed

Geometry as CIF:
```
data_Y2Ni6BPt
_chemical_formula_sum 'Y4 Ni12 B2 Pt2'
_space_group_name_H-M_alt 'C 1 2/m 1'
_space_group_IT_number 12
_cell_length_a 9.167
_cell_length_b 5.274
_cell_length_c 6.868
_cell_angle_alpha 90.00
_cell_angle_beta 116.66
_cell_angle_gamma 90.00
loop_
_space_group_symop_operation_xyz
'x,y,z'
'-x,-y,-z'
'-x,y,-z'
'x,-y,z'
'x+1/2,y+1/2,z'
'-x+1/2,-y+1/2,-z'
'-x+1/2,y+1/2,-z'
'x+1/2,-y+1/2,z'
loop_
_atom_site_label
_atom_site_type_symbol
_atom_site_fract_x
_atom_site_fract_y
_atom_site_fract_z
_atom_site_occupancy
Y1 Y 0.218 0.000 0.156 1
Ni1 Ni 0.035 0.270 0.339 1
Ni2 Ni 0.234 0.000 0.657 1
B1 B 0.000 0.000 0.500 1
Pt1 Pt 0.000 0.500 0.000 1
```

---

Material: Pu2Ni21B6
Method: DFT, PBE-GGA
State: relaxed

Geometry as CIF:
```
data_Pu2Ni21B6
_chemical_formula_sum 'Pu8 Ni84 B24'
_space_group_name_H-M_alt 'F m -3 m'
_space_group_IT_number 225
_space_group_name_Hall '-F 4 2 3'
_cell_length_a 10.686
_cell_length_b 10.686
_cell_length_c 10.686
_cell_angle_alpha 90.00
_cell_angle_beta 90.00
_cell_angle_gamma 90.00
loop_
_atom_site_label
_atom_site_type_symbol
_atom_site_fract_x
_atom_site_fract_y
_atom_site_fract_z
_atom_site_occupancy
Pu1 Pu 0.250 0.250 0.250 1
Ni1 Ni 0.000 0.000 0.000 1
Ni2 Ni 0.000 0.169 0.169 1
Ni3 Ni 0.113 0.113 0.387 1
B1 B 0.000 0.000 0.268 1
```

---

Number 1: magnetization 0.000 Bohr magnetons per cell, E -6.4857 eV per atom. Number 2: magnetization 31.738 Bohr magnetons per cell, E -6.8202 eV per atom.